A relaxed NaSb2ICl crystal, computed with GGA-PBE.

```
NaSb2ICl
1.0
5.172 0.000 0.000
0.000 5.172 0.000
0.000 0.000 7.702
Cl I Na Sb
1 1 1 2
Direct
0.000 0.000 0.000 Cl
0.000 0.000 0.500 I
0.500 0.500 0.500 Na
0.500 0.000 0.000 Sb
0.000 0.500 0.000 Sb
```

Electronic total energy   -2.4185 eV per atom
Energy above the most stable polymorph in this dataset   0.0 meV per atom